[1]
The following is a GGA-PBE calculation of Mg2AlZnH after structural relaxation, from the Alexandria database.

Output
space-group type	P4/mmm, No. 123
D(E_F)	0.20	states/eV/atom
total moment	0.0000	μB per atom

Lattice parameters (Å, degrees): 4.320 4.320 4.136 90.00 90.00 90.00
Atoms (fractional coordinates):
Mg (0.000, 0.500, 0.000)
Mg (0.500, 0.000, 0.000)
Al (0.000, 0.000, 0.500)
Zn (0.500, 0.500, 0.500)
H (0.500, 0.500, 0.000)

=====

[2]
The following is a GGA-PBE calculation of Mg2AlZnH after structural relaxation, from the Alexandria database.

Output
space-group type	P4/mmm, No. 123
D(E_F)	0.30	states/eV/atom
total moment	0.0000	μB per atom

Lattice parameters (Å, degrees): 4.287 4.287 4.140 90.00 90.00 90.00
Atoms (fractional coordinates):
Mg (0.000, 0.500, 0.000)
Mg (0.500, 0.000, 0.000)
Al (0.000, 0.000, 0.500)
Zn (0.500, 0.500, 0.500)
H (0.000, 0.000, 0.000)

=====

[3]
The following is a GGA-PBE calculation of MgZr2AlH after structural relaxation, from the Alexandria database.

Output
space-group type	P4/mmm, No. 123
D(E_F)	0.65	states/eV/atom
total moment	0.0000	μB per atom

Lattice parameters (Å, degrees): 4.350 4.350 4.395 90.00 90.00 90.00
Atoms (fractional coordinates):
Mg (0.000, 0.000, 0.000)
Zr (0.000, 0.500, 0.500)
Zr (0.500, 0.000, 0.500)
Al (0.500, 0.500, 0.000)
H (0.000, 0.000, 0.500)

=====

[4]
The following is a GGA-PBE calculation of Mg2ZrAlH after structural relaxation, from the Alexandria database.

Output
space-group type	P4/mmm, No. 123
D(E_F)	0.19	states/eV/atom
total moment	0.0000	μB per atom

Lattice parameters (Å, degrees): 4.301 4.301 4.342 90.00 90.00 90.00
Atoms (fractional coordinates):
Mg (0.000, 0.500, 0.000)
Mg (0.500, 0.000, 0.000)
Zr (0.000, 0.000, 0.500)
Al (0.500, 0.500, 0.500)
H (0.000, 0.000, 0.000)

=====

[5]
The following is a GGA-PBE calculation of MnAlH3 after structural relaxation, from the Alexandria database.

Output
space-group type	R3m, No. 160
D(E_F)	0.28	states/eV/atom
total moment	0.2147	μB per atom

Lattice parameters (Å, degrees): 4.979 4.979 4.979 51.97 51.97 51.97
Atoms (fractional coordinates):
Mn (0.000, 0.000, 0.000)
Mn (0.197, 0.197, 0.197)
Al (0.591, 0.591, 0.591)
Al (0.798, 0.798, 0.798)
H (0.178, 0.178, 0.553)
H (0.178, 0.553, 0.178)
H (0.273, 0.273, 0.788)
H (0.273, 0.788, 0.273)
H (0.553, 0.178, 0.178)
H (0.788, 0.273, 0.273)

=====

[6]
The following is a GGA-PBE calculation of MnAl2H after structural relaxation, from the Alexandria database.

Output
space-group type	I-42d, No. 122
D(E_F)	0.05	states/eV/atom
total moment	0.0000	μB per atom

Lattice parameters (Å, degrees): 4.898 4.898 4.898 103.34 103.34 122.58
Atoms (fractional coordinates):
Mn (0.000, 0.000, 0.000)
Mn (0.750, 0.250, 0.500)
Al (0.206, 0.625, 0.081)
Al (0.375, 0.456, 0.581)
Al (0.544, 0.125, 0.919)
Al (0.875, 0.794, 0.419)
H (0.250, 0.750, 0.500)
H (0.500, 0.500, 0.000)

=====

[7]
The following is a GGA-PBE calculation of MnAlH3 after structural relaxation, from the Alexandria database.

Output
space-group type	Pm-3m, No. 221
D(E_F)	1.00	states/eV/atom
total moment	0.0000	μB per atom

Lattice parameters (Å, degrees): 3.321 3.321 3.321 90.00 90.00 90.00
Atoms (fractional coordinates):
Mn (0.000, 0.000, 0.000)
Al (0.500, 0.500, 0.500)
H (0.000, 0.500, 0.500)
H (0.500, 0.000, 0.500)
H (0.500, 0.500, 0.000)

=====

[8]
The following is a GGA-PBE calculation of Mn2AlH after structural relaxation, from the Alexandria database.

Output
space-group type	P4/mmm, No. 123
D(E_F)	0.53	states/eV/atom
total moment	0.5385	μB per atom

Lattice parameters (Å, degrees): 2.612 2.612 5.844 90.00 90.00 90.00
Atoms (fractional coordinates):
Mn (0.000, 0.000, 0.179)
Mn (0.000, 0.000, 0.821)
Al (0.500, 0.500, 0.500)
H (0.500, 0.500, 0.000)

=====

[9]
The following is a GGA-PBE calculation of Mn2AlH after structural relaxation, from the Alexandria database.

Output
space-group type	Fm-3m, No. 225
D(E_F)	0.41	states/eV/atom
total moment	1.3596	μB per atom

Lattice parameters (Å, degrees): 4.036 4.036 4.036 60.00 60.00 60.00
Atoms (fractional coordinates):
Mn (0.250, 0.250, 0.250)
Mn (0.750, 0.750, 0.750)
Al (0.000, 0.000, 0.000)
H (0.500, 0.500, 0.500)

=====

[10]
The following is a GGA-PBE calculation of Mn2AlH after structural relaxation, from the Alexandria database.

Output
space-group type	R3m, No. 160
D(E_F)	0.51	states/eV/atom
total moment	0.3507	μB per atom

Lattice parameters (Å, degrees): 6.278 6.278 6.278 24.69 24.69 24.69
Atoms (fractional coordinates):
Mn (0.000, 0.000, 0.000)
Mn (0.225, 0.225, 0.225)
Al (0.445, 0.445, 0.445)
H (0.615, 0.615, 0.615)

=====

[11]
The following is a GGA-PBE calculation of Mn6AlH3 after structural relaxation, from the Alexandria database.

Output
space-group type	R3, No. 146
D(E_F)	1.07	states/eV/atom
total moment	0.0226	μB per atom

Lattice parameters (Å, degrees): 4.969 4.969 4.969 60.71 60.71 60.71
Atoms (fractional coordinates):
Mn (0.000, 0.474, 0.526)
Mn (0.134, 0.866, 0.519)
Mn (0.474, 0.526, 0.000)
Mn (0.519, 0.134, 0.866)
Mn (0.526, 0.000, 0.474)
Mn (0.866, 0.519, 0.134)
Al (0.009, 0.009, 0.009)
H (0.239, 0.239, 0.239)
H (0.431, 0.431, 0.431)
H (0.756, 0.756, 0.756)

=====

[12]
The following is a GGA-PBE calculation of Mn2AlH after structural relaxation, from the Alexandria database.

Output
space-group type	I4_1/amd, No. 141
D(E_F)	0.71	states/eV/atom
total moment	0.9979	μB per atom

Lattice parameters (Å, degrees): 5.067 5.067 5.067 119.89 119.89 90.20
Atoms (fractional coordinates):
Mn (0.000, 0.000, 0.000)
Mn (0.000, 0.000, 0.500)
Mn (0.000, 0.500, 0.000)
Mn (0.500, 0.000, 0.500)
Al (0.375, 0.625, 0.750)
Al (0.625, 0.375, 0.250)
H (0.125, 0.875, 0.250)
H (0.875, 0.125, 0.750)

=====

Q: Which raw total energy values were calculated for the entries above? A: -0.082 -0.082 -0.200 -0.146 -0.167 -0.178 -0.139 -0.226 -0.215 -0.238 -0.246 -0.225, in hartree per atom.